Computed, not measured: Be2Ga2Ag after structural relaxation at the PBE-GGA level of DFT.

abc: 5.9464 5.9464 4.5152
angles: 90.00 90.00 58.54
Closest atoms and distances in Å follow each position.
Sites, in units of the cell vectors:
Be1 0.1154 0.1154 0.0000  3 Be 2.26-2.39, 4 Ga 2.42-2.50, 2 Ag 2.48
Be2 0.1154 0.1154 0.5000  3 Be 2.26-2.39, 4 Ga 2.42-2.50, 2 Ag 2.48
Be3 0.8846 0.8846 0.0000  3 Be 2.26-2.39, 4 Ga 2.42-2.50, 2 Ag 2.48
Be4 0.8846 0.8846 0.5000  3 Be 2.26-2.39, 4 Ga 2.42-2.50, 2 Ag 2.48
Ga1 0.1571 0.4678 0.7500  4 Be 2.42-2.50
Ga2 0.4678 0.1571 0.2500  4 Be 2.42-2.50
Ga3 0.5322 0.8429 0.7500  4 Be 2.42-2.50
Ga4 0.8429 0.5322 0.2500  4 Be 2.42-2.50
Ag1 0.3190 0.6810 0.2500  4 Be 2.48, 2 Ga 2.76
Ag2 0.6810 0.3190 0.7500  4 Be 2.48, 2 Ga 2.76

Summary:
Crystal system = orthorhombic
Symmetry = Cmcm (63)
Final energy = -15.56 eV per formula unit

***

Computed, not measured: Be2AgGe after structural relaxation at the PBE-GGA level of DFT.

abc: 6.1160 6.1160 6.1160
angles: 90.00 90.00 90.00
Closest atoms and distances in Å follow each position.
Sites, in units of the cell vectors:
Be1 0.0000 0.0000 0.0000  4 Be 2.65, 4 Ag 2.65
Be2 0.0000 0.5000 0.5000  4 Be 2.65, 4 Ag 2.65
Be3 0.2500 0.2500 0.2500  4 Ge 2.65, 4 Be 2.65
Be4 0.2500 0.7500 0.7500  4 Ge 2.65, 4 Be 2.65
Be5 0.5000 0.0000 0.5000  4 Be 2.65, 4 Ag 2.65
Be6 0.5000 0.5000 0.0000  4 Be 2.65, 4 Ag 2.65
Be7 0.7500 0.2500 0.7500  4 Ge 2.65, 4 Be 2.65
Be8 0.7500 0.7500 0.2500  4 Ge 2.65, 4 Be 2.65
Ag1 0.2500 0.2500 0.7500  4 Ge 2.65, 4 Be 2.65
Ag2 0.2500 0.7500 0.2500  4 Ge 2.65, 4 Be 2.65
Ag3 0.7500 0.2500 0.2500  4 Ge 2.65, 4 Be 2.65
Ag4 0.7500 0.7500 0.7500  4 Ge 2.65, 4 Be 2.65
Ge1 0.0000 0.0000 0.5000  4 Ag 2.65, 4 Be 2.65
Ge2 0.0000 0.5000 0.0000  4 Ag 2.65, 4 Be 2.65
Ge3 0.5000 0.0000 0.0000  4 Ag 2.65, 4 Be 2.65
Ge4 0.5000 0.5000 0.5000  4 Ag 2.65, 4 Be 2.65

Summary:
Crystal system = cubic
Symmetry = F-43m (216)
Final energy = -12.49 eV per formula unit

***

Computed, not measured: BeAgGe2 after structural relaxation at the PBE-GGA level of DFT.

abc: 6.4688 6.4688 6.4688
angles: 90.00 90.00 90.00
Closest atoms and distances in Å follow each position.
Sites, in units of the cell vectors:
Be1 0.0000 0.0000 0.0000  4 Ge 2.80, 4 Ag 2.80
Be2 0.0000 0.5000 0.5000  4 Ge 2.80, 4 Ag 2.80
Be3 0.5000 0.0000 0.5000  4 Ge 2.80, 4 Ag 2.80
Be4 0.5000 0.5000 0.0000  4 Ge 2.80, 4 Ag 2.80
Ag1 0.2500 0.2500 0.2500  4 Ge 2.80, 4 Be 2.80
Ag2 0.2500 0.7500 0.7500  4 Ge 2.80, 4 Be 2.80
Ag3 0.7500 0.2500 0.7500  4 Ge 2.80, 4 Be 2.80
Ag4 0.7500 0.7500 0.2500  4 Ge 2.80, 4 Be 2.80
Ge1 0.0000 0.0000 0.5000  4 Ge 2.80, 4 Ag 2.80
Ge2 0.0000 0.5000 0.0000  4 Ge 2.80, 4 Ag 2.80
Ge3 0.2500 0.2500 0.7500  4 Ge 2.80, 4 Be 2.80
Ge4 0.2500 0.7500 0.2500  4 Ge 2.80, 4 Be 2.80
Ge5 0.5000 0.0000 0.0000  4 Ge 2.80, 4 Ag 2.80
Ge6 0.5000 0.5000 0.5000  4 Ge 2.80, 4 Ag 2.80
Ge7 0.7500 0.2500 0.2500  4 Ge 2.80, 4 Be 2.80
Ge8 0.7500 0.7500 0.7500  4 Ge 2.80, 4 Be 2.80

Summary:
Crystal system = cubic
Symmetry = F-43m (216)
Final energy = -13.79 eV per formula unit

***

Computed, not measured: BeNiAgGe after structural relaxation at the PBE-GGA level of DFT.

abc: 5.9714 5.9714 5.9714
angles: 90.00 90.00 90.00
Closest atoms and distances in Å follow each position.
Sites, in units of the cell vectors:
Be1 0.0000 0.0000 0.0000  4 Ge 2.59, 4 Ag 2.59
Be2 0.0000 0.5000 0.5000  4 Ge 2.59, 4 Ag 2.59
Be3 0.5000 0.0000 0.5000  4 Ge 2.59, 4 Ag 2.59
Be4 0.5000 0.5000 0.0000  4 Ge 2.59, 4 Ag 2.59
Ni1 0.0000 0.0000 0.5000  4 Ge 2.59, 4 Ag 2.59
Ni2 0.0000 0.5000 0.0000  4 Ge 2.59, 4 Ag 2.59
Ni3 0.5000 0.0000 0.0000  4 Ge 2.59, 4 Ag 2.59
Ni4 0.5000 0.5000 0.5000  4 Ge 2.59, 4 Ag 2.59
Ag1 0.2500 0.2500 0.7500  4 Ni 2.59, 4 Be 2.59
Ag2 0.2500 0.7500 0.2500  4 Ni 2.59, 4 Be 2.59
Ag3 0.7500 0.2500 0.2500  4 Ni 2.59, 4 Be 2.59
Ag4 0.7500 0.7500 0.7500  4 Be 2.59, 4 Ni 2.59
Ge1 0.2500 0.2500 0.2500  4 Ni 2.59, 4 Be 2.59
Ge2 0.2500 0.7500 0.7500  4 Ni 2.59, 4 Be 2.59
Ge3 0.7500 0.2500 0.7500  4 Ni 2.59, 4 Be 2.59
Ge4 0.7500 0.7500 0.2500  4 Ni 2.59, 4 Be 2.59

Summary:
Crystal system = cubic
Symmetry = F-43m (216)
Final energy = -16.08 eV per formula unit

***

Computed, not measured: Sr2BeAgH6 after structural relaxation at the PBE-GGA level of DFT.

abc: 5.3653 5.3653 5.3653
angles: 60.00 60.00 60.00
Closest atoms and distances in Å follow each position.
Sites, in units of the cell vectors:
Sr1 0.2500 0.2500 0.2500  12 H 2.69
Sr2 0.7500 0.7500 0.7500  12 H 2.69
Be1 0.0000 0.0000 0.0000  6 H 1.64
Ag1 0.5000 0.5000 0.5000  6 H 2.15
H1 0.2164 0.2164 0.7836  1 Be 1.64
H2 0.2164 0.7836 0.2164  1 Be 1.64
H3 0.2164 0.7836 0.7836  1 Be 1.64
H4 0.7836 0.2164 0.2164  1 Be 1.64
H5 0.7836 0.2164 0.7836  1 Be 1.64
H6 0.7836 0.7836 0.2164  1 Be 1.64

Summary:
Crystal system = cubic
Symmetry = Fm-3m (225)
Final energy = -32.11 eV per formula unit

***

Computed, not measured: Hf2BeAg after structural relaxation at the PBE-GGA level of DFT.

abc: 6.6227 6.6227 6.6227
angles: 90.00 90.00 90.00
Closest atoms and distances in Å follow each position.
Sites, in units of the cell vectors:
Hf1 0.0000 0.0000 0.0000  4 Hf 2.87, 4 Ag 2.87
Hf2 0.0000 0.5000 0.5000  4 Hf 2.87, 4 Ag 2.87
Hf3 0.2500 0.2500 0.2500  4 Hf 2.87, 4 Be 2.87
Hf4 0.2500 0.7500 0.7500  4 Hf 2.87, 4 Be 2.87
Hf5 0.5000 0.0000 0.5000  4 Hf 2.87, 4 Ag 2.87
Hf6 0.5000 0.5000 0.0000  4 Hf 2.87, 4 Ag 2.87
Hf7 0.7500 0.2500 0.7500  4 Hf 2.87, 4 Be 2.87
Hf8 0.7500 0.7500 0.2500  4 Hf 2.87, 4 Be 2.87
Be1 0.0000 0.0000 0.5000  4 Hf 2.87, 4 Ag 2.87
Be2 0.0000 0.5000 0.0000  4 Hf 2.87, 4 Ag 2.87
Be3 0.5000 0.0000 0.0000  4 Hf 2.87, 4 Ag 2.87
Be4 0.5000 0.5000 0.5000  4 Hf 2.87, 4 Ag 2.87
Ag1 0.2500 0.2500 0.7500  4 Hf 2.87, 4 Be 2.87
Ag2 0.2500 0.7500 0.2500  4 Hf 2.87, 4 Be 2.87
Ag3 0.7500 0.2500 0.2500  4 Hf 2.87, 4 Be 2.87
Ag4 0.7500 0.7500 0.7500  4 Hf 2.87, 4 Be 2.87

Summary:
Crystal system = cubic
Symmetry = F-43m (216)
Final energy = -24.39 eV per formula unit